1.
VASP calculation (PBE) on crystalline La5Hg4Ir at its relaxed geometry.

Summary:
magnetic moment = 0.711 μB per formula unit
crystal system = tetragonal
density = 9.86 g/cm³
ΔH_f (0 K) = -530 meV/atom

a b c (Å): 3.792 3.792 19.791
angles (deg): 90.00 90.00 90.00
Positions (direct):
La 0.500 0.500 0.082
La 0.500 0.500 0.293
La 0.500 0.500 0.500
La 0.500 0.500 0.707
La 0.500 0.500 0.918
Ir 0.000 0.000 0.000
Hg 0.000 0.000 0.807
Hg 0.000 0.000 0.397
Hg 0.000 0.000 0.193
Hg 0.000 0.000 0.603


2.
VASP calculation (PBE) on crystalline LaHg2Ir at its relaxed geometry.

Summary:
magnetic moment = 0.963 μB per formula unit
crystal system = trigonal
density = 13.61 g/cm³
ΔH_f (0 K) = 291 meV/atom

a b c (Å): 10.176 10.176 10.176
angles (deg): 18.15 18.15 18.15
Positions (direct):
Hg 0.990 0.990 0.990
Hg 0.510 0.510 0.510
La 0.750 0.750 0.750
Ir 0.250 0.250 0.250


3.
VASP calculation (PBE) on crystalline La2HgIr at its relaxed geometry.

Summary:
magnetic moment = 0.000 μB per formula unit
crystal system = orthorhombic
density = 8.95 g/cm³
ΔH_f (0 K) = -50 meV/atom

a b c (Å): 8.609 8.609 8.609
angles (deg): 37.42 153.62 153.94
Positions (direct):
Ir 0.000 0.000 0.000
La 0.000 0.160 0.160
La 0.000 0.840 0.840
Hg 0.000 0.500 0.500


4.
VASP calculation (PBE) on crystalline LaHg2Ir2 at its relaxed geometry.

Summary:
magnetic moment = 0.000 μB per formula unit
crystal system = tetragonal
density = 13.58 g/cm³
ΔH_f (0 K) = -152 meV/atom

a b c (Å): 4.342 4.342 6.736
angles (deg): 71.20 71.20 90.00
Positions (direct):
Hg 0.750 0.250 0.500
Hg 0.250 0.750 0.500
Ir 0.400 0.400 0.200
Ir 0.600 0.600 0.800
La 0.000 0.000 0.000


5.
VASP calculation (PBE) on crystalline La2HgIr at its relaxed geometry.

Summary:
magnetic moment = 0.000 μB per formula unit
crystal system = tetragonal
density = 9.20 g/cm³
ΔH_f (0 K) = -409 meV/atom

a b c (Å): 4.315 4.315 6.499
angles (deg): 90.00 90.00 90.00
Positions (direct):
La 0.500 0.500 0.295
La 0.000 0.000 0.901
Ir 0.500 0.500 0.884
Hg 0.000 0.000 0.420


6.
VASP calculation (PBE) on crystalline La2HgIr2 at its relaxed geometry.

Summary:
magnetic moment = 0.000 μB per formula unit
crystal system = tetragonal
density = 11.04 g/cm³
ΔH_f (0 K) = -470 meV/atom

a b c (Å): 5.615 5.615 5.719
angles (deg): 60.60 60.60 90.00
Positions (direct):
La 0.750 0.250 0.500
La 0.250 0.750 0.500
Ir 0.338 0.338 0.324
Ir 0.662 0.662 0.676
Hg 0.000 0.000 0.000


Look up the density of the sixth one.
11.04 g/cm³